Entry 1:
First-principles (PBE) data for an optimized crystal structure of SrSc2CoS, as listed in Alexandria via LeMat-Bulk.

a = 5.015 Å, b = 4.359 Å, c = 5.015 Å
α = 90.00°, β = 90.00°, γ = 90.00°
Element x y z (fractional)
Sc 0.000 0.000 0.500
Sc 0.500 0.000 0.000
Sr 0.500 0.500 0.500
S 0.000 0.000 0.000
Co 0.000 0.500 0.000

## Properties
SG: No. 123

Entry 2:
First-principles (PBE) data for an optimized crystal structure of ScCoTeS2, as listed in Alexandria via LeMat-Bulk.

a = 5.164 Å, b = 4.579 Å, c = 5.164 Å
α = 90.00°, β = 90.00°, γ = 90.00°
Element x y z (fractional)
Sc 0.500 0.500 0.500
S 0.000 0.000 0.500
S 0.500 0.000 0.000
Te 0.000 0.000 0.000
Co 0.000 0.500 0.000

## Properties
SG: No. 123

Entry 3:
First-principles (PBE) data for an optimized crystal structure of Sc2TlCoS, as listed in Alexandria via LeMat-Bulk.

a = 5.042 Å, b = 4.052 Å, c = 5.042 Å
α = 90.00°, β = 90.00°, γ = 90.00°
Element x y z (fractional)
Sc 0.000 0.000 0.500
Sc 0.500 0.000 0.000
Tl 0.500 0.500 0.500
Co 0.000 0.000 0.000
S 0.000 0.500 0.000

## Properties
SG: No. 123

Entry 4:
First-principles (PBE) data for an optimized crystal structure of ScTlCo2S, as listed in Alexandria via LeMat-Bulk.

a = 4.153 Å, b = 5.552 Å, c = 4.153 Å
α = 90.00°, β = 90.00°, γ = 90.00°
Element x y z (fractional)
Sc 0.500 0.500 0.500
Tl 0.000 0.500 0.000
Co 0.000 0.000 0.500
Co 0.500 0.000 0.000
S 0.000 0.000 0.000

## Properties
SG: No. 123

Entry 5:
First-principles (PBE) data for an optimized crystal structure of Tm2Sc2Co2S, as listed in Alexandria via LeMat-Bulk.

a = 3.651 Å, b = 7.117 Å, c = 6.398 Å
α = 69.44°, β = 73.42°, γ = 75.14°
Element x y z (fractional)
Tm 0.542 0.232 0.683
Tm 0.458 0.768 0.317
Sc 0.223 0.677 0.877
Sc 0.777 0.323 0.123
Co 0.108 0.440 0.344
Co 0.892 0.560 0.656
S 0.000 0.000 0.000

## Properties
SG: No. 12

Entry 6:
First-principles (PBE) data for an optimized crystal structure of CoSe2S, as listed in Alexandria via LeMat-Bulk.

a = 5.831 Å, b = 5.831 Å, c = 6.618 Å
α = 63.86°, β = 63.86°, γ = 90.00°
Element x y z (fractional)
S 0.500 0.500 0.000
S 0.250 0.750 0.500
Co 0.000 0.000 0.000
Co 0.750 0.250 0.500
Se 0.689 0.125 0.250
Se 0.061 0.625 0.250
Se 0.375 0.311 0.750
Se 0.875 0.939 0.750

## Properties
SG: No. 122

Number 1: formation energy without anion corrections -239 meV/atom, DOS at the Fermi energy 7.1 states/eV/cell. Number 2: formation energy without anion corrections 475 meV/atom, DOS at the Fermi energy 5.4 states/eV/cell. Number 3: formation energy without anion corrections -246 meV/atom, DOS at the Fermi energy 5.4 states/eV/cell. Number 4: formation energy without anion corrections 219 meV/atom, DOS at the Fermi energy 3.4 states/eV/cell. Number 5: formation energy without anion corrections -667 meV/atom, DOS at the Fermi energy 4.3 states/eV/cell. Number 6: formation energy without anion corrections 208 meV/atom, DOS at the Fermi energy 3.4 states/eV/cell.